{"formula": "Li2Ga4Rh", "functional": "PBE", "state": "relaxed", "lattice_angstrom": [[-3.4139, 5.6208, 1.0242], [-3.9341, 2.0635, -2.8126], [-4.3998, 0.7623, 2.7760]], "species": ["Li", "Li", "Ga", "Ga", "Ga", "Ga", "Rh"], "fractional_positions": [[0.0000, 0.5000, 0.5000], [0.5000, 0.5000, 0.5000], [0.5000, 0.5000, 0.0000], [0.0000, 0.0000, 0.5000], [0.5000, 0.0000, 0.5000], [0.0000, 0.5000, 0.0000], [0.0000, 0.0000, 0.0000]], "ef_ev_per_fu": -2.11, "magnetic_moment_mub_per_atom": 0.000, "n_ef_per_ev_atom": 0.245, "rho_g_cm3": 6.0, "spacegroup": "I4/mmm"}